DFT (PBE) results for an optimized crystal structure of ThAgSnPt.

Calculated values
- VASP energy (eV per cell) = -90.9
- crystal system = cubic

Cell: 7.097 7.097 7.097 Å, 90.00 90.00 90.00°
Space group F-43m (No. 216)
One atom of each set of equivalent atoms:
Th (0.000, 0.000, 0.000)
Ag (0.250, 0.250, 0.750)
Sn (0.000, 0.000, 0.500)
Pt (0.250, 0.250, 0.250)